First-principles (PBE) data for a geometry-optimized ScFeAu2 structure, as listed in the Alexandria database.

Calculated values
E_form = 0.000 eV/atom

a = 8.865 Å, b = 8.865 Å, c = 8.865 Å
α = 20.13°, β = 20.13°, γ = 20.13°
Last column: magnetic moment on the atom in μB.
Sites, in units of the cell vectors:
Au1 0.002 0.002 0.002  0.00
Au2 0.244 0.244 0.244  0.05
Fe1 0.501 0.501 0.501  2.79
Sc1 0.753 0.753 0.753  -0.26

First-principles (PBE) data for a geometry-optimized Re3HgO9 structure, as listed in the Alexandria database.

Calculated values
Total DFT energy (no corrections) = -7.731 eV/atom

a = 7.415 Å, b = 7.415 Å, c = 3.802 Å
α = 90.00°, β = 90.00°, γ = 120.00°
Sites, in units of the cell vectors:
Re1 0.500 0.500 0.482
Re2 0.500 0.000 0.482
Re3 0.000 0.500 0.482
Hg1 0.000 0.000 0.949
O1 0.572 0.786 0.483
O2 0.214 0.786 0.483
O3 0.214 0.428 0.483
O4 0.786 0.572 0.483
O5 0.786 0.214 0.483
O6 0.428 0.214 0.483
O7 0.500 0.500 0.982
O8 0.500 0.000 0.982
O9 0.000 0.500 0.982

First-principles (PBE) data for a geometry-optimized Na3U3PdS8 structure, as listed in the Alexandria database.

Calculated values
Total DFT energy (no corrections) = -6.257 eV/atom

a = 7.787 Å, b = 7.673 Å, c = 8.095 Å
α = 117.87°, β = 90.00°, γ = 120.50°
Last column: magnetic moment on the atom in μB.
Sites, in units of the cell vectors:
Na1 0.000 0.000 0.000  0.00
Na2 0.000 0.500 0.000  0.00
Na3 0.500 0.500 0.000  0.00
U1 0.500 0.000 0.500  2.02
U2 0.500 0.500 0.500  2.00
U3 0.000 0.500 0.500  2.00
Pd1 0.000 0.000 0.500  -0.06
S1 0.254 0.509 0.266  -0.05
S2 0.746 0.491 0.734  -0.05
S3 0.770 0.541 0.290  -0.05
S4 0.230 0.459 0.710  -0.05
S5 0.751 0.023 0.274  -0.07
S6 0.249 0.977 0.726  -0.07
S7 0.272 0.023 0.274  -0.07
S8 0.728 0.977 0.726  -0.07

First-principles (PBE) data for a geometry-optimized Pr2ErAlO6 structure, as listed in the Alexandria database.

Calculated values
Total DFT energy (no corrections) = -8.057 eV/atom

a = 5.607 Å, b = 5.770 Å, c = 8.059 Å
α = 90.00°, β = 89.30°, γ = 90.00°
Sites, in units of the cell vectors:
Pr1 0.015 0.951 0.250
Pr2 0.515 0.549 0.750
Pr3 0.985 0.049 0.750
Pr4 0.485 0.451 0.250
Er1 0.500 0.000 0.500
Er2 0.000 0.500 0.000
Al1 0.500 0.000 0.000
Al2 0.000 0.500 0.500
O1 0.312 0.721 0.056
O2 0.812 0.779 0.556
O3 0.688 0.279 0.944
O4 0.188 0.221 0.444
O5 0.276 0.691 0.449
O6 0.776 0.809 0.949
O7 0.724 0.309 0.551
O8 0.224 0.191 0.051
O9 0.901 0.533 0.268
O10 0.401 0.967 0.768
O11 0.099 0.467 0.732
O12 0.599 0.033 0.232

First-principles (PBE) data for a geometry-optimized RbHg3Pb3 structure, as listed in the Alexandria database.

Calculated values
E_form = 0.063 eV/atom

a = 8.338 Å, b = 8.338 Å, c = 8.338 Å
α = 90.00°, β = 90.00°, γ = 90.00°
Sites, in units of the cell vectors:
Pb1 0.000 0.250 0.500
Pb2 0.000 0.750 0.500
Pb3 0.500 0.000 0.750
Pb4 0.750 0.500 0.000
Pb5 0.500 0.000 0.250
Pb6 0.250 0.500 0.000
Hg1 0.250 0.000 0.500
Hg2 0.000 0.500 0.250
Hg3 0.500 0.750 0.000
Hg4 0.750 0.000 0.500
Hg5 0.000 0.500 0.750
Hg6 0.500 0.250 0.000
Rb1 0.500 0.500 0.500
Rb2 0.000 0.000 0.000

First-principles (PBE) data for a geometry-optimized SrScTeN2 structure, as listed in the Alexandria database.

Calculated values
Total DFT energy (no corrections) = -5.678 eV/atom

a = 4.468 Å, b = 4.468 Å, c = 5.716 Å
α = 90.00°, β = 90.00°, γ = 90.00°
Last column: magnetic moment on the atom in μB.
Sites, in units of the cell vectors:
Sc1 0.000 0.000 0.000  -0.06
Sr1 0.500 0.500 0.500  0.01
Te1 0.000 0.000 0.500  0.16
N1 0.000 0.500 0.000  0.93
N2 0.500 0.000 0.000  0.93

First-principles (PBE) data for a geometry-optimized Tl3HgPd structure, as listed in the Alexandria database.

Calculated values
E_form = -0.041 eV/atom

a = 6.773 Å, b = 6.773 Å, c = 7.871 Å
α = 101.98°, β = 128.88°, γ = 91.68°
Sites, in units of the cell vectors:
Tl1 0.790 0.928 0.211
Tl2 0.284 0.421 0.211
Tl3 0.716 0.579 0.789
Tl4 0.794 0.424 0.219
Tl5 0.210 0.072 0.789
Tl6 0.206 0.576 0.781
Hg1 0.699 0.069 0.767
Hg2 0.301 0.931 0.233
Pd1 0.748 0.748 0.495
Pd2 0.252 0.252 0.505

First-principles (PBE) data for a geometry-optimized Ac2YHo6 structure, as listed in the Alexandria database.

Calculated values
E_form = 0.136 eV/atom

a = 3.633 Å, b = 8.838 Å, c = 10.013 Å
α = 102.53°, β = 90.00°, γ = 90.00°
Sites, in units of the cell vectors:
Ac1 0.500 0.696 0.468
Ac2 0.500 0.304 0.532
Y1 0.000 0.000 0.000
Ho1 0.000 0.381 0.213
Ho2 0.000 0.027 0.676
Ho3 0.000 0.619 0.787
Ho4 0.500 0.318 0.901
Ho5 0.000 0.973 0.324
Ho6 0.500 0.682 0.099

First-principles (PBE) data for a geometry-optimized HIrS2 structure, as listed in the Alexandria database.

Calculated values
Total DFT energy (no corrections) = -5.132 eV/atom

a = 4.873 Å, b = 9.473 Å, c = 4.961 Å
α = 90.00°, β = 90.00°, γ = 90.00°
Sites, in units of the cell vectors:
H1 0.208 0.874 0.063
H2 0.792 0.126 0.563
H3 0.292 0.374 0.563
H4 0.708 0.626 0.063
S1 0.486 0.891 0.062
S2 0.514 0.109 0.562
S3 0.014 0.391 0.562
S4 0.986 0.609 0.062
S5 0.018 0.893 0.562
S6 0.982 0.107 0.062
S7 0.482 0.393 0.062
S8 0.518 0.607 0.562
Ir1 0.994 0.348 0.062
Ir2 0.006 0.652 0.562
Ir3 0.506 0.848 0.562
Ir4 0.494 0.152 0.062

First-principles (PBE) data for a geometry-optimized PAu2 structure, as listed in the Alexandria database.

Calculated values
E_form = 0.243 eV/atom

a = 10.344 Å, b = 10.344 Å, c = 3.976 Å
α = 90.00°, β = 90.00°, γ = 164.29°
Sites, in units of the cell vectors:
P1 0.104 0.896 0.750
P2 0.896 0.104 0.250
Au1 0.709 0.291 0.750
Au2 0.444 0.556 0.750
Au3 0.291 0.709 0.250
Au4 0.556 0.444 0.250

First-principles (PBE) data for a geometry-optimized Cs3Ac2NdTe6 structure, as listed in the Alexandria database.

Calculated values
Total DFT energy (no corrections) = -4.339 eV/atom

a = 8.370 Å, b = 8.370 Å, c = 9.402 Å
α = 98.54°, β = 98.54°, γ = 120.00°
Sites, in units of the cell vectors:
Cs1 0.169 0.831 0.500
Cs2 0.831 0.169 0.500
Cs3 0.500 0.500 0.500
Ac1 0.334 0.666 0.000
Ac2 0.666 0.334 0.000
Nd1 0.000 0.000 0.000
Te1 0.934 0.611 0.801
Te2 0.744 0.744 0.200
Te3 0.066 0.389 0.199
Te4 0.611 0.934 0.801
Te5 0.256 0.256 0.800
Te6 0.389 0.066 0.199

First-principles (PBE) data for a geometry-optimized TiMn2P2 structure, as listed in the Alexandria database.

Calculated values
E_form = -0.506 eV/atom

a = 6.635 Å, b = 6.635 Å, c = 2.710 Å
α = 90.00°, β = 90.00°, γ = 90.00°
Sites, in units of the cell vectors:
P1 0.347 0.847 0.000
P2 0.847 0.653 0.000
P3 0.653 0.153 0.000
P4 0.153 0.347 0.000
Mn1 0.141 0.641 0.500
Mn2 0.641 0.859 0.500
Mn3 0.859 0.359 0.500
Mn4 0.359 0.141 0.500
Ti1 0.000 0.000 0.000
Ti2 0.500 0.500 0.000

| no. | V (Å³ per atom) | total magnetization (Bohr magnetons per cell) |
| --- | --- | --- |
| 1 | 18.06 | 2.44 |
| 2 | 13.92 | 0.01 |
| 3 | 23.34 | 5.98 |
| 4 | 13.03 | 0.00 |
| 5 | 41.40 | 0.00 |
| 6 | 22.83 | 3.01 |
| 7 | 26.88 | 0.00 |
| 8 | 34.87 | 0.00 |
| 9 | 14.31 | 0.00 |
| 10 | 19.20 | 0.00 |
| 11 | 45.39 | 0.00 |
| 12 | 11.93 | 0.00 |